# 1
Density functional theory data (PBE-GGA) for a relaxed Rb2PrAlS4 crystal.

Lattice parameters (Å, degrees): 8.412 8.412 8.412 122.47 117.69 89.91
Fractional positions:
Rb (0.000, 0.000, 0.000)
Rb (0.500, 0.000, 0.000)
Rb (0.500, 0.000, 0.500)
Rb (0.500, 0.500, 0.500)
Pr (0.000, 0.500, 0.500)
Pr (0.500, 0.500, 0.000)
Al (0.000, 0.000, 0.500)
Al (0.000, 0.500, 0.000)
S (0.181, 0.741, 0.440)
S (0.199, 0.259, 0.940)
S (0.217, 0.239, 0.523)
S (0.217, 0.694, 0.977)
S (0.783, 0.306, 0.023)
S (0.783, 0.761, 0.477)
S (0.801, 0.741, 0.060)
S (0.819, 0.259, 0.560)

Output
E_form (uncorrected) ... -1.2781 eV per atom
VASP energy ... -74.383 eV for the cell shown

# 2
Density functional theory data (PBE-GGA) for a relaxed PaNi2Ag crystal.

Lattice parameters (Å, degrees): 3.341 3.341 25.893 90.00 90.00 120.00
Fractional positions:
Pa (0.000, 0.000, 0.000)
Pa (0.333, 0.667, 0.667)
Pa (0.667, 0.333, 0.333)
Ni (0.000, 0.000, 0.401)
Ni (0.000, 0.000, 0.599)
Ni (0.333, 0.667, 0.068)
Ni (0.333, 0.667, 0.266)
Ni (0.667, 0.333, 0.734)
Ni (0.667, 0.333, 0.932)
Ag (0.000, 0.000, 0.500)
Ag (0.333, 0.667, 0.167)
Ag (0.667, 0.333, 0.833)

Output
Calculated formation energy ... 0.392 eV per atom
VASP energy ... -67.029 eV for the cell shown

# 3
Density functional theory data (PBE-GGA) for a relaxed BaPuAgSe4 crystal.

Lattice parameters (Å, degrees): 7.453 5.846 9.289 90.00 109.45 90.00
Fractional positions:
Ba (0.242, 0.250, 0.443)
Ba (0.758, 0.750, 0.557)
Pu (0.227, 0.250, 0.941)
Pu (0.773, 0.750, 0.059)
Ag (0.251, 0.750, 0.199)
Ag (0.749, 0.250, 0.801)
Se (0.044, 0.750, 0.367)
Se (0.063, 0.750, 0.907)
Se (0.461, 0.519, 0.787)
Se (0.461, 0.981, 0.787)
Se (0.539, 0.019, 0.213)
Se (0.539, 0.481, 0.213)
Se (0.937, 0.250, 0.093)
Se (0.956, 0.250, 0.633)

Output
E_form (uncorrected) ... -1.1046 eV per atom
VASP energy ... -81.553 eV for the cell shown

# 4
Density functional theory data (PBE-GGA) for a relaxed Rb3Er5Bi12 crystal.

Lattice parameters (Å, degrees): 16.891 16.891 16.891 109.47 109.47 109.47
Fractional positions:
Rb (0.125, 0.250, 0.375)
Rb (0.125, 0.375, 0.750)
Rb (0.250, 0.375, 0.125)
Rb (0.250, 0.875, 0.625)
Rb (0.375, 0.125, 0.250)
Rb (0.375, 0.750, 0.125)
Rb (0.625, 0.250, 0.875)
Rb (0.625, 0.875, 0.750)
Rb (0.750, 0.125, 0.375)
Rb (0.750, 0.625, 0.875)
Rb (0.875, 0.625, 0.250)
Rb (0.875, 0.750, 0.625)
Er (0.000, 0.000, 0.000)
Er (0.000, 0.000, 0.500)
Er (0.000, 0.500, 0.000)
Er (0.000, 0.500, 0.500)
Er (0.125, 0.750, 0.875)
Er (0.125, 0.875, 0.250)
Er (0.250, 0.125, 0.875)
Er (0.250, 0.625, 0.375)
Er (0.375, 0.250, 0.625)
Er (0.375, 0.625, 0.750)
Er (0.500, 0.000, 0.000)
Er (0.500, 0.000, 0.500)
Er (0.500, 0.500, 0.000)
Er (0.500, 0.500, 0.500)
Er (0.625, 0.375, 0.250)
Er (0.625, 0.750, 0.375)
Er (0.750, 0.375, 0.625)
Er (0.750, 0.875, 0.125)
Er (0.875, 0.125, 0.750)
Er (0.875, 0.250, 0.125)
Bi (0.010, 0.199, 0.060)
Bi (0.010, 0.310, 0.950)
Bi (0.050, 0.560, 0.361)
Bi (0.050, 0.990, 0.690)
Bi (0.060, 0.010, 0.199)
Bi (0.060, 0.550, 0.861)
Bi (0.139, 0.699, 0.690)
Bi (0.139, 0.940, 0.450)
Bi (0.190, 0.199, 0.639)
Bi (0.190, 0.490, 0.550)
Bi (0.199, 0.060, 0.010)
Bi (0.199, 0.639, 0.190)
Bi (0.301, 0.310, 0.861)
Bi (0.301, 0.490, 0.440)
Bi (0.310, 0.861, 0.301)
Bi (0.310, 0.950, 0.010)
Bi (0.361, 0.050, 0.560)
Bi (0.361, 0.810, 0.801)
Bi (0.440, 0.301, 0.490)
Bi (0.440, 0.639, 0.950)
Bi (0.450, 0.139, 0.940)
Bi (0.450, 0.810, 0.510)
Bi (0.490, 0.440, 0.301)
Bi (0.490, 0.550, 0.190)
Bi (0.510, 0.450, 0.810)
Bi (0.510, 0.560, 0.699)
Bi (0.550, 0.190, 0.490)
Bi (0.550, 0.861, 0.060)
Bi (0.560, 0.361, 0.050)
Bi (0.560, 0.699, 0.510)
Bi (0.639, 0.190, 0.199)
Bi (0.639, 0.950, 0.440)
Bi (0.690, 0.050, 0.990)
Bi (0.690, 0.139, 0.699)
Bi (0.699, 0.510, 0.560)
Bi (0.699, 0.690, 0.139)
Bi (0.801, 0.361, 0.810)
Bi (0.801, 0.940, 0.990)
Bi (0.810, 0.510, 0.450)
Bi (0.810, 0.801, 0.361)
Bi (0.861, 0.060, 0.550)
Bi (0.861, 0.301, 0.310)
Bi (0.940, 0.450, 0.139)
Bi (0.940, 0.990, 0.801)
Bi (0.950, 0.010, 0.310)
Bi (0.950, 0.440, 0.639)
Bi (0.990, 0.690, 0.050)
Bi (0.990, 0.801, 0.940)

Output
Calculated formation energy ... -0.060 eV per atom
VASP energy ... -293.986 eV for the cell shown

# 5
Density functional theory data (PBE-GGA) for a relaxed NaNd2GaO5 crystal.

Lattice parameters (Å, degrees): 6.741 6.741 5.799 90.00 90.00 90.00
Fractional positions:
Na (0.000, 0.000, 0.000)
Na (0.500, 0.500, 0.000)
Nd (0.178, 0.322, 0.500)
Nd (0.322, 0.822, 0.500)
Nd (0.678, 0.178, 0.500)
Nd (0.822, 0.678, 0.500)
Ga (0.000, 0.500, 0.000)
Ga (0.500, 0.000, 0.000)
O (0.000, 0.000, 0.500)
O (0.135, 0.635, 0.239)
O (0.135, 0.635, 0.761)
O (0.365, 0.135, 0.239)
O (0.365, 0.135, 0.761)
O (0.500, 0.500, 0.500)
O (0.635, 0.865, 0.239)
O (0.635, 0.865, 0.761)
O (0.865, 0.365, 0.239)
O (0.865, 0.365, 0.761)

Output
E_form (uncorrected) ... -2.4853 eV per atom
VASP energy ... -122.081 eV for the cell shown

# 6
Density functional theory data (PBE-GGA) for a relaxed Cu2AsSe crystal.

Lattice parameters (Å, degrees): 3.781 3.781 16.594 90.00 90.00 120.00
Fractional positions:
Cu (0.000, 0.000, 0.000)
Cu (0.000, 0.000, 0.168)
Cu (0.333, 0.667, 0.667)
Cu (0.333, 0.667, 0.835)
Cu (0.667, 0.333, 0.333)
Cu (0.667, 0.333, 0.501)
As (0.000, 0.000, 0.583)
As (0.333, 0.667, 0.249)
As (0.667, 0.333, 0.916)
Se (0.000, 0.000, 0.753)
Se (0.333, 0.667, 0.420)
Se (0.667, 0.333, 0.087)

Output
E_form (uncorrected) ... 0.0788 eV per atom
VASP energy ... -48.033 eV for the cell shown

# 7
Density functional theory data (PBE-GGA) for a relaxed PrZrRu crystal.

Lattice parameters (Å, degrees): 7.120 4.586 13.043 90.00 92.00 90.00
Fractional positions:
Pr (0.005, 0.250, 0.377)
Pr (0.112, 0.250, 0.083)
Pr (0.482, 0.250, 0.290)
Pr (0.518, 0.750, 0.710)
Pr (0.888, 0.750, 0.917)
Pr (0.995, 0.750, 0.623)
Zr (0.165, 0.250, 0.787)
Zr (0.356, 0.750, 0.456)
Zr (0.457, 0.750, 0.083)
Zr (0.543, 0.250, 0.917)
Zr (0.644, 0.250, 0.544)
Zr (0.835, 0.750, 0.213)
Ru (0.198, 0.750, 0.237)
Ru (0.279, 0.250, 0.562)
Ru (0.314, 0.750, 0.890)
Ru (0.686, 0.250, 0.110)
Ru (0.721, 0.750, 0.438)
Ru (0.802, 0.250, 0.763)

Output
Calculated formation energy ... -0.260 eV per atom
VASP energy ... -140.296 eV for the cell shown

# 8
Density functional theory data (PBE-GGA) for a relaxed CuTeRhI2 crystal.

Lattice parameters (Å, degrees): 5.570 5.570 5.042 90.00 90.00 90.00
Fractional positions:
Cu (0.000, 0.000, 0.000)
Te (0.500, 0.500, 0.000)
Rh (0.500, 0.500, 0.500)
I (0.000, 0.500, 0.500)
I (0.500, 0.000, 0.500)

Output
E_form (uncorrected) ... 0.5486 eV per atom
VASP energy ... -14.947 eV for the cell shown

# 9
Density functional theory data (PBE-GGA) for a relaxed GeBi5 crystal.

Lattice parameters (Å, degrees): 4.807 19.922 3.906 90.00 90.00 90.00
Fractional positions:
Ge (0.000, 0.000, 0.000)
Ge (0.500, 0.500, 0.000)
Bi (0.000, 0.122, 0.500)
Bi (0.000, 0.305, 0.000)
Bi (0.000, 0.500, 0.500)
Bi (0.000, 0.695, 0.000)
Bi (0.000, 0.878, 0.500)
Bi (0.500, 0.000, 0.500)
Bi (0.500, 0.195, 0.000)
Bi (0.500, 0.378, 0.500)
Bi (0.500, 0.622, 0.500)
Bi (0.500, 0.805, 0.000)

Output
Calculated formation energy ... 0.168 eV per atom
VASP energy ... -46.031 eV for the cell shown

# 10
Density functional theory data (PBE-GGA) for a relaxed AcThAl crystal.

Lattice parameters (Å, degrees): 3.838 3.838 12.860 90.00 90.00 90.00
Fractional positions:
Ac (0.000, 0.000, 0.000)
Ac (0.500, 0.500, 0.500)
Th (0.000, 0.000, 0.294)
Th (0.500, 0.500, 0.794)
Al (0.000, 0.000, 0.661)
Al (0.500, 0.500, 0.161)

Output
Calculated formation energy ... -0.054 eV per atom
VASP energy ... -30.868 eV for the cell shown

# 11
Density functional theory data (PBE-GGA) for a relaxed CrGaSi2H crystal.

Lattice parameters (Å, degrees): 4.443 4.443 4.710 90.00 90.00 90.00
Fractional positions:
Cr (0.000, 0.000, 0.000)
Ga (0.000, 0.000, 0.500)
Si (0.000, 0.500, 0.000)
Si (0.500, 0.000, 0.000)
H (0.500, 0.500, 0.500)

Output
VASP energy ... -23.447 eV for the cell shown

# 12
Density functional theory data (PBE-GGA) for a relaxed PrPa3N6 crystal.

Lattice parameters (Å, degrees): 9.310 3.598 9.405 90.00 105.10 90.00
Fractional positions:
Pr (0.071, 0.250, 0.184)
Pr (0.929, 0.750, 0.816)
Pa (0.170, 0.250, 0.584)
Pa (0.317, 0.750, 0.978)
Pa (0.470, 0.250, 0.322)
Pa (0.530, 0.750, 0.678)
Pa (0.683, 0.250, 0.022)
Pa (0.830, 0.750, 0.416)
N (0.073, 0.750, 0.419)
N (0.126, 0.250, 0.935)
N (0.271, 0.750, 0.719)
N (0.305, 0.750, 0.220)
N (0.404, 0.250, 0.548)
N (0.450, 0.250, 0.080)
N (0.550, 0.750, 0.920)
N (0.596, 0.750, 0.452)
N (0.695, 0.250, 0.780)
N (0.729, 0.250, 0.281)
N (0.874, 0.750, 0.065)
N (0.927, 0.250, 0.581)

Output
E_form (uncorrected) ... -1.6327 eV per atom
VASP energy ... -199.094 eV for the cell shown

Question: What is the VASP energy in the first record?
Answer: -74.383 eV for the cell shown